# 1
Computed, not measured: NaTiP2Se8 after structural relaxation at the PBE level of DFT.

Calculated values
Raw formation energy   -0.328 eV per atom
Calculated volume   302 Å³ per cell
Magnetic moment   0.001 μB per cell
Total DFT energy (no corrections)   -51.84 eV for the cell shown

Geometry as POSCAR:
```
NaTiP2Se8
1.0
3.161 1.825 8.710
-3.161 1.825 8.710
0.000 -3.650 8.710
Na Ti P Se
1 1 2 8
Cartesian
0.000 0.000 0.000
0.000 0.000 13.066
0.000 0.000 6.441
0.000 0.000 19.691
-2.118 0.094 11.640
-1.140 -1.787 14.492
0.000 0.000 8.617
0.978 -1.881 11.640
-0.978 1.881 14.492
0.000 0.000 17.514
1.140 1.787 11.640
2.118 -0.094 14.492
```

=====

# 2
Computed, not measured: Ba2SbIr after structural relaxation at the PBE level of DFT.

Calculated values
Raw formation energy   -0.237 eV per atom
Calculated volume   127 Å³ per cell
Magnetic moment   0.329 μB per cell
Total DFT energy (no corrections)   -17.78 eV for the cell shown

Geometry as POSCAR:
```
Ba2SbIr
1.0
3.714 0.000 0.000
0.000 3.714 0.000
0.000 0.000 9.234
Ba Sb Ir
2 1 1
Cartesian
0.000 0.000 1.963
0.000 0.000 7.271
1.857 1.857 4.617
1.857 1.857 0.000
```